{
  "formula": "TlTcSeN2",
  "functional": "PBE",
  "state": "relaxed",
  "de_polymorph_mev_per_atom": 1947.4,
  "e_form_raw_mev_per_atom": 2444,
  "space_group": "P4/mmm (123)",
  "lattice": [[-2.3069, -3.3872, -0.4699], [2.9930, -1.7257, -2.2538], [2.3509, -2.2759, 4.8646]],
  "species": ["Se", "N", "N", "Tl", "Tc"],
  "frac_coords": [[0.0000, 0.0000, 0.5000], [0.0000, 0.5000, 0.0000], [0.5000, 0.0000, 0.0000], [0.0000, 0.0000, 0.0000], [0.5000, 0.5000, 0.5000]]
}

{
  "formula": "LaPr2US8",
  "functional": "PBE",
  "state": "relaxed",
  "e_form_raw_mev_per_atom": -1582,
  "space_group": "P2/m (10)",
  "lattice": [[-0.8229, 3.8011, -2.6890], [-2.2985, -4.0361, -4.9878], [-8.5363, 0.5943, 3.4522]],
  "species": ["S", "S", "S", "S", "S", "S", "S", "S", "Pr", "Pr", "La", "U"],
  "frac_coords": [[0.9997, 0.2420, 0.2240], [0.9997, 0.2420, 0.7760], [0.0003, 0.7580, 0.2240], [0.4996, 0.7483, 0.5000], [0.4999, 0.2180, 0.0000], [0.0003, 0.7580, 0.7760], [0.5001, 0.7820, 0.0000], [0.5004, 0.2517, 0.5000], [0.5000, 0.5000, 0.7476], [0.5000, 0.5000, 0.2524], [0.0000, 0.0000, 0.5000], [0.0000, 0.0000, 0.0000]]
}

{
  "formula": "La2Al",
  "functional": "PBE",
  "state": "relaxed",
  "e_tot_ev_per_atom": -4.7541,
  "space_group": "Cmcm (63)",
  "lattice": [[-6.6123, 5.2376, -0.6394], [3.2027, -7.5283, 2.1517], [0.9190, 1.7339, 4.6985]],
  "species": ["La", "La", "La", "La", "Al", "Al"],
  "frac_coords": [[0.4299, 0.5701, 0.2500], [0.2713, 0.7287, 0.7500], [0.5701, 0.4299, 0.7500], [0.7287, 0.2713, 0.2500], [0.0864, 0.9136, 0.2500], [0.9136, 0.0864, 0.7500]]
}

{
  "formula": "Ho2ErThP4",
  "functional": "PBE",
  "state": "relaxed",
  "e_tot_ev_per_atom": -6.9563,
  "space_group": "P2/m (10)",
  "lattice": [[4.0323, 0.0000, 0.0000], [0.0000, 6.9657, -0.1378], [0.0000, 2.4512, 6.5180]],
  "species": ["Er", "Ho", "Ho", "P", "P", "P", "P", "Th"],
  "frac_coords": [[0.0000, 0.5000, 0.5000], [0.5000, 0.0000, 0.5000], [0.0000, 0.0000, 0.0000], [0.5000, 0.7516, 0.2532], [0.5000, 0.2484, 0.7468], [0.0000, 0.2446, 0.2563], [0.0000, 0.7554, 0.7437], [0.5000, 0.5000, 0.0000]]
}

{
  "formula": "Zr2TaMn",
  "functional": "PBE",
  "state": "relaxed",
  "de_polymorph_mev_per_atom": 189.9,
  "space_group": "P4/mmm (123)",
  "lattice": [[3.4097, 0.0000, 0.0000], [0.0000, 4.7370, 0.0000], [0.0000, 0.0000, 4.7370]],
  "species": ["Mn", "Ta", "Zr", "Zr"],
  "frac_coords": [[0.5000, 0.5000, 0.0000], [0.5000, 0.0000, 0.5000], [0.0000, 0.0000, 0.0000], [0.0000, 0.5000, 0.5000]]
}

{
  "formula": "Pm2TcAs",
  "functional": "PBE",
  "state": "relaxed",
  "de_polymorph_mev_per_atom": 0.0,
  "space_group": "P4/mmm (123)",
  "lattice": [[3.7269, 0.0000, 0.0000], [0.0000, 3.7269, 0.0000], [0.0000, 0.0000, 6.5954]],
  "species": ["Pm", "Pm", "Tc", "As"],
  "frac_coords": [[0.0000, 0.0000, 0.7497], [0.0000, 0.0000, 0.2503], [0.5000, 0.5000, 0.0000], [0.5000, 0.5000, 0.5000]]
}